VASP calculation (PBE) on SrYIn after structural relaxation.

As for the space group: C2/m, No. 12. Its calculated formation energy is -0.228 eV per atom.

Unit cell a=6.2234 b=6.2234 c=7.3770 alpha=120.51 beta=120.51 gamma=68.52
With the nearest neighbours (Å) after each atom.
Element x y z (fractional)
Sr (0.1932, 0.1932, 0.0359)  4 In 3.50, 3 Sr 3.67-3.83, 2 Y 3.80-3.91
Sr (0.8068, 0.8068, 0.9641)  4 In 3.50, 3 Sr 3.67-3.83, 2 Y 3.80-3.91
Y (0.3301, 0.3301, 0.6455)  4 In 3.22-3.25
Y (0.6699, 0.6699, 0.3545)  4 In 3.22-3.25
In (0.2193, 0.7807, 0.5000)  1 In 3.07, 4 Y 3.22-3.25
In (0.7807, 0.2193, 0.5000)  1 In 3.07, 4 Y 3.22-3.25


VASP calculation (PBE) on SrY2In after structural relaxation.

As for the space group: Immm, No. 71. Its calculated formation energy is -0.186 eV per atom.

Unit cell a=7.0172 b=7.0172 c=7.0172 alpha=148.36 beta=131.51 gamma=59.06
With the nearest neighbours (Å) after each atom.
Element x y z (fractional)
Sr (0.0000, 0.0000, 0.0000)  4 In 3.46, 2 Sr 3.83
Y (0.2875, 0.7875, 0.5000)  2 In 3.22, 4 Y 3.58
Y (0.7125, 0.2125, 0.5000)  2 In 3.22, 4 Y 3.58
In (0.5000, 0.5000, 0.0000)  4 Y 3.22, 4 Sr 3.46


VASP calculation (PBE) on SrYIn2 after structural relaxation.

As for the space group: Cm, No. 8. Its calculated formation energy is -0.319 eV per atom.

Unit cell a=6.4891 b=6.4891 c=5.6394 alpha=108.51 beta=108.51 gamma=32.82
With the nearest neighbours (Å) after each atom.
Element x y z (fractional)
Sr (0.0000, 0.0000, 0.0000)  7 In 3.32-3.53, 2 Sr 3.67
Y (0.2170, 0.2170, 0.6453)  7 In 3.36-3.57, 2 Y 3.67, 1 Sr 3.75
In (0.4569, 0.4569, 0.4862)  2 In 3.14, 4 Sr 3.32-3.48, 1 Y 3.39
In (0.7564, 0.7564, 0.1665)  2 In 3.14, 4 Y 3.36-3.43, 1 Sr 3.46


| no. | magnetization (μB/cell) | D(E_F) (states/eV/cell) |
| --- | --- | --- |
| 1 | 0.00 | 6.09 |
| 2 | 0.00 | 4.80 |
| 3 | 0.00 | 2.85 |